Material: ThGa2CuAu
Method: DFT, PBE
State: relaxed

Output
Space group   I-4m2
Energy of formation   -0.50 eV per atom

```
ThGa2CuAu
1.0
-3.6795 0.8772 -2.1243
-2.2646 -0.6995 3.6336
3.4385 4.8955 0.4956
Au Ga Th Cu
1 2 1 1
direct
0.7500 0.2500 0.5000
0.6188 0.6188 0.2375
0.3812 0.3812 0.7625
0.0000 0.0000 0.0000
0.2500 0.7500 0.5000
```